La3PmTm6, optimized geometry, DFT PBE-GGA; DFT total energy = -4.325 eV/atom; DOS(E_F) = 2.31 states/eV per atom; ΔE_f = 0.311 eV per atom; distance to the lowest polymorph of the same formula = 83 meV/atom
1.0
8.752 0.000 4.645
3.144 8.168 4.645
2.248 1.544 6.333
Tm La Pm
6 3 1
direct
0.926 0.603 0.198
0.774 0.097 0.702
0.097 0.427 0.702
0.603 0.273 0.198
0.427 0.774 0.702
0.273 0.926 0.198
0.599 0.599 0.203
0.350 0.350 0.950
0.101 0.101 0.697
0.850 0.850 0.449

ScSiMo2, optimized geometry, DFT PBE-GGA; energy relative to the elements, uncorrected = 32 meV per atom; DFT total energy = -8.322 eV/atom; DOS(E_F) = 0.59 states/eV per atom
1.0
-7.470 -2.012 -3.733
-5.543 -3.688 -5.427
-6.583 -4.779 -2.759
Mo Sc Si
2 1 1
direct
0.256 0.256 0.256
0.001 0.001 0.001
0.500 0.500 0.500
0.743 0.743 0.743

Ac12SbPb6, optimized geometry, DFT PBE-GGA; energy relative to the elements, uncorrected = -316 meV per atom; DFT total energy = -4.299 eV/atom; DOS(E_F) = 1.06 states/eV per atom
1.0
9.667 -0.072 -0.086
-1.537 9.544 -0.086
-1.537 -1.790 9.375
Ac Pb Sb
12 6 1
direct
0.555 0.189 0.421
0.579 0.445 0.811
0.034 0.669 0.928
0.421 0.555 0.189
0.966 0.331 0.072
0.072 0.966 0.331
0.811 0.579 0.445
0.189 0.421 0.555
0.669 0.928 0.034
0.445 0.811 0.579
0.331 0.072 0.966
0.928 0.034 0.669
0.126 0.632 0.307
0.874 0.368 0.693
0.632 0.307 0.126
0.307 0.126 0.632
0.693 0.874 0.368
0.368 0.693 0.874
0.000 0.000 0.000

V2GaTc2, optimized geometry, DFT PBE-GGA; DFT total energy = -8.614 eV/atom; DOS(E_F) = 0.76 states/eV per atom; ΔE_f = -0.215 eV per atom; distance to the lowest polymorph of the same formula = 0 meV/atom
1.0
4.076 0.000 -1.115
-0.416 5.195 -1.522
-0.359 0.296 6.696
V Tc Ga
4 4 2
direct
0.200 0.060 0.400
0.800 0.940 0.600
0.800 0.440 0.600
0.200 0.560 0.400
0.391 0.841 0.783
0.609 0.659 0.217
0.391 0.341 0.783
0.609 0.159 0.217
0.000 0.250 0.000
0.000 0.750 0.000